Entry 1:
Material: LuHfN
Method: DFT, PBE-GGA
State: relaxed

Cell lengths 3.298, 3.298, 5.453 Å; angles 90.00, 90.00, 120.00 degrees
Sites, in units of the cell vectors:
Lu 0.000 0.000 0.000
Hf 0.333 0.667 0.528
N 0.667 0.333 0.749

The space group is No. 156. The raw formation energy is -1.1392 eV per atom.

Entry 2:
Material: LuHf3N
Method: DFT, PBE-GGA
State: relaxed

Cell lengths 4.567, 4.567, 4.567 Å; angles 90.00, 90.00, 90.00 degrees
Sites, in units of the cell vectors:
Lu 0.000 0.000 0.000
Hf 0.000 0.500 0.500
Hf 0.500 0.000 0.500
Hf 0.500 0.500 0.000
N 0.500 0.500 0.500

The space group is No. 221. The raw formation energy is -0.6058 eV per atom.

Look up the raw formation energy of the first one.
-1.1392 eV per atom

Among the records above, which one has the highest raw formation energy?
LuHf3N